(1)
The following is a GGA-PBE calculation of Li2Pr3Zn3 after structural relaxation, from the Alexandria database.

Structure (POSCAR):
```
Li2Pr3Zn3
1.0
-1.8195 2.6366 10.1379
1.8195 -2.6366 10.1379
1.8195 2.6366 -10.1379
Li Pr Zn
2 3 3
Direct
0.2330 0.2330 0.0000
0.7670 0.7670 0.0000
0.0000 0.0000 0.0000
0.3740 0.8740 0.5000
0.6260 0.1260 0.5000
0.1326 0.6326 0.5000
0.5000 0.5000 0.0000
0.8674 0.3674 0.5000
```

Magnetization = 0.0 μB/cell
Uncorrected energy = -2.9292 eV/atom
Formation energy from the elements = -0.18 eV/atom
D(E_F) = 0.750 states/eV per atom

(2)
The following is a GGA-PBE calculation of Li4PrZn8 after structural relaxation, from the Alexandria database.

Structure (POSCAR):
```
Li4PrZn8
1.0
-4.6858 4.6858 2.3805
4.6858 -4.6858 2.3805
4.6858 4.6858 -2.3805
Li Pr Zn
4 1 8
Direct
0.0000 0.0000 0.5000
0.0000 0.5000 0.0000
0.5000 0.0000 0.0000
0.5000 0.5000 0.5000
0.0000 0.0000 0.0000
0.0000 0.3585 0.3585
0.0000 0.6415 0.6415
0.2749 0.5000 0.7749
0.3585 0.0000 0.3585
0.5000 0.2749 0.7749
0.5000 0.7251 0.2251
0.6415 0.0000 0.6415
0.7251 0.5000 0.2251
```

Magnetization = 0.0 μB/cell
Uncorrected energy = -1.9446 eV/atom
Formation energy from the elements = -0.20 eV/atom
D(E_F) = 0.290 states/eV per atom

(3)
The following is a GGA-PBE calculation of Li2PrZn3 after structural relaxation, from the Alexandria database.

Structure (POSCAR):
```
Li2PrZn3
1.0
5.3379 0.0000 0.0000
-2.6690 4.6228 0.0000
0.0000 0.0000 4.4228
Li Pr Zn
2 1 3
Direct
0.3333 0.6667 0.0000
0.6667 0.3333 0.0000
0.0000 0.0000 0.0000
0.0000 0.5000 0.5000
0.5000 0.0000 0.5000
0.5000 0.5000 0.5000
```

E above lowest polymorph = 0 meV per atom
Magnetization = 0.0 μB/cell
Uncorrected energy = -2.2820 eV/atom
Formation energy from the elements = -0.21 eV/atom
D(E_F) = 0.518 states/eV per atom

(4)
The following is a GGA-PBE calculation of LiPrZrZn after structural relaxation, from the Alexandria database.

Structure (POSCAR):
```
LiPrZrZn
1.0
0.0000 3.5443 3.5443
3.5443 0.0000 3.5443
3.5443 3.5443 0.0000
Li Pr Zr Zn
1 1 1 1
Direct
0.0000 0.0000 0.0000
0.2500 0.2500 0.2500
0.7500 0.7500 0.7500
0.5000 0.5000 0.5000
```

Magnetization = 0.0 μB/cell
Uncorrected energy = -4.0945 eV/atom
Formation energy from the elements = 0.03 eV/atom
D(E_F) = 0.920 states/eV per atom

(5)
The following is a GGA-PBE calculation of Li3Pt4 after structural relaxation, from the Alexandria database.

Structure (POSCAR):
```
Li3Pt4
1.0
4.6456 0.0000 0.0000
-2.3228 4.0232 0.0000
0.0000 0.0000 5.1867
Li Pt
3 4
Direct
0.0000 0.5000 0.0000
0.5000 0.0000 0.0000
0.5000 0.5000 0.0000
0.0000 0.0000 0.2542
0.0000 0.0000 0.7458
0.3333 0.6667 0.5000
0.6667 0.3333 0.5000
```

E above lowest polymorph = 30 meV per atom
Magnetization = 0.0 μB/cell
Uncorrected energy = -4.5803 eV/atom
Formation energy from the elements = -0.31 eV/atom
D(E_F) = 1.107 states/eV per atom

(6)
The following is a GGA-PBE calculation of Li3Pt2 after structural relaxation, from the Alexandria database.

Structure (POSCAR):
```
Li3Pt2
1.0
0.0000 4.3744 6.5029
2.4196 0.0000 6.5029
2.4196 4.3744 0.0000
Li Pt
6 4
Direct
0.0236 0.0236 0.2264
0.2264 0.2264 0.0236
0.3750 0.3750 0.3750
0.6250 0.6250 0.6250
0.7736 0.7736 0.9764
0.9764 0.9764 0.7736
0.1755 0.1755 0.5745
0.4255 0.4255 0.8245
0.5745 0.5745 0.1755
0.8245 0.8245 0.4255
```

E above lowest polymorph = 64 meV per atom
Magnetization = 0.0 μB/cell
Uncorrected energy = -4.0150 eV/atom
Formation energy from the elements = -0.45 eV/atom
D(E_F) = 0.326 states/eV per atom

(7)
The following is a GGA-PBE calculation of LiPt2 after structural relaxation, from the Alexandria database.

Structure (POSCAR):
```
LiPt2
1.0
2.7157 0.0000 0.0000
-1.3579 2.3519 0.0000
0.0000 0.0000 6.8787
Li Pt
1 2
Direct
0.0000 0.0000 0.0000
0.3333 0.6667 0.6874
0.6667 0.3333 0.3126
```

E above lowest polymorph = 62 meV per atom
Magnetization = 0.0 μB/cell
Uncorrected energy = -5.0517 eV/atom
Formation energy from the elements = -0.39 eV/atom
D(E_F) = 0.780 states/eV per atom

(8)
The following is a GGA-PBE calculation of LiPt3 after structural relaxation, from the Alexandria database.

Structure (POSCAR):
```
LiPt3
1.0
2.7591 -3.8952 0.0000
2.7591 3.8952 0.0000
0.0000 0.0000 2.7485
Li Pt
1 3
Direct
0.0000 0.0000 0.0000
0.0000 0.5000 0.5000
0.5000 0.0000 0.5000
0.5000 0.5000 0.0000
```

Magnetization = 0.0 μB/cell
Uncorrected energy = -5.4625 eV/atom
Formation energy from the elements = -0.45 eV/atom
D(E_F) = 0.752 states/eV per atom